! Rb2In2Ag GGA-PBE relaxed; values from VASP
! - density (g/cm3) = 3.94
! - space group = I4/mmm
! - DFT formation energy (kJ per mole of atoms) = 40.9
&SYSTEM
  ibrav = 0, nat = 5, ntyp = 3
/
ATOMIC_SPECIES
Rb 85.47 Rb.upf
Ag 107.87 Ag.upf
In 114.82 In.upf
CELL_PARAMETERS angstrom
-0.821 4.325 -2.646
-3.267 -2.501 -3.075
-8.171 2.794 2.118
ATOMIC_POSITIONS crystal
Rb 0.750 0.250 0.500
Rb 0.250 0.750 0.500
Ag 0.000 0.000 0.000
In 0.415 0.415 0.170
In 0.585 0.585 0.830